Entry 1:
Here is a geometry-optimized Sc2VOsRu structure from Alexandria. Energies are from PBE.

E, eV for the cell shown: -37.47
ΔH_f (0 K), kJ per mole of atoms: 93

Structure (CIF):
```
data_Sc2VOsRu
_space_group_name_H-M_alt 'P 4/m m m'
_space_group_IT_number 123
_space_group_name_Hall '-P 4 2'
_cell_length_a 4.810
_cell_length_b 4.810
_cell_length_c 4.688
_cell_angle_alpha 90.00
_cell_angle_beta 90.00
_cell_angle_gamma 90.00
loop_
_atom_site_label
_atom_site_type_symbol
_atom_site_fract_x
_atom_site_fract_y
_atom_site_fract_z
Sc1 Sc 0.000 0.500 0.000
V1 V 0.000 0.000 0.500
Os1 Os 0.500 0.500 0.500
Ru1 Ru 0.500 0.500 0.000
```

=====

Entry 2:
Here is a geometry-optimized CaY2Mg structure from Alexandria. Energies are from PBE.

E, eV for the cell shown: -16.27
ΔH_f (0 K), kJ per mole of atoms: 6

Structure (CIF):
```
data_CaY2Mg
_space_group_name_H-M_alt 'P 4/m m m'
_space_group_IT_number 123
_space_group_name_Hall '-P 4 2'
_cell_length_a 5.402
_cell_length_b 5.402
_cell_length_c 4.286
_cell_angle_alpha 90.00
_cell_angle_beta 90.00
_cell_angle_gamma 90.00
loop_
_atom_site_label
_atom_site_type_symbol
_atom_site_fract_x
_atom_site_fract_y
_atom_site_fract_z
Ca1 Ca 0.000 0.000 0.000
Y1 Y 0.000 0.500 0.500
Mg1 Mg 0.500 0.500 0.000
```

=====

Entry 3:
Here is a geometry-optimized La2HfMo structure from Alexandria. Energies are from PBE.

E, eV for the cell shown: -112.83
ΔH_f (0 K), kJ per mole of atoms: 59
Relative energy among the computed polymorphs, kJ/mol of atoms: 0.00

Structure (CIF):
```
data_La2HfMo
_space_group_name_H-M_alt 'F m -3 m'
_space_group_IT_number 225
_space_group_name_Hall '-F 4 2 3'
_cell_length_a 7.431
_cell_length_b 7.431
_cell_length_c 7.431
_cell_angle_alpha 90.00
_cell_angle_beta 90.00
_cell_angle_gamma 90.00
loop_
_atom_site_label
_atom_site_type_symbol
_atom_site_fract_x
_atom_site_fract_y
_atom_site_fract_z
La1 La 0.250 0.250 0.250
Hf1 Hf 0.000 0.000 0.000
Mo1 Mo 0.000 0.000 0.500
```